# 1
# LaMg4Rh

An optimized crystal structure of LaMg4Rh (GGA-PBE, Alexandria via LeMat-Bulk).

The calculation puts the energy of formation at -0.3340 eV per atom. The calculation puts the energy above the most stable polymorph in this dataset at 0.0 meV/atom. The calculation puts the total DFT energy (no corrections) at -3.444 eV per atom.

The structure belongs to space group Pmma (No. 51); the cell edges are 8.6723, 4.3652 and 7.4347 Å and the angles 90.00°, 90.00° and 90.00°. The inequivalent atoms are La at (0.2500, 0.0000, 0.0836), Mg at (0.0000, 0.0000, 0.5000), Mg at (0.0606, 0.5000, 0.7948), Mg at (0.2500, 0.5000, 0.4611) and Rh at (0.2500, 0.0000, 0.7205).

***

# 2
# La2Mg3Rh2

An optimized crystal structure of La2Mg3Rh2 (GGA-PBE, Alexandria via LeMat-Bulk).

The calculation puts the energy of formation at -0.5278 eV per atom. The calculation puts the total DFT energy (no corrections) at -4.719 eV per atom.

The structure belongs to space group C2/m (No. 12); the cell edges are 10.5584, 4.2344 and 7.7959 Å and the angles 90.00°, 112.20° and 90.00°. The inequivalent atoms are La at (0.1468, 0.0000, 0.2844), Mg at (0.0000, 0.5000, 0.5000), Mg at (0.1391, 0.5000, 0.9362) and Rh at (0.1496, 0.0000, 0.6938).

***

# 3
# LaMg2Rh

An optimized crystal structure of LaMg2Rh (GGA-PBE, Alexandria via LeMat-Bulk).

The calculation puts the energy of formation at -0.2934 eV per atom. The calculation puts the total DFT energy (no corrections) at -4.160 eV per atom.

The structure belongs to space group Pmmm (No. 47); the cell edges are 4.1033, 4.1270 and 5.3564 Å and the angles 90.00°, 90.00° and 90.00°. The inequivalent atoms are La at (0.0000, 0.0000, 0.0000), Mg at (0.0000, 0.5000, 0.5000), Mg at (0.5000, 0.0000, 0.5000) and Rh at (0.5000, 0.5000, 0.0000).

***

# 4
# LaMgRh2

An optimized crystal structure of LaMgRh2 (GGA-PBE, Alexandria via LeMat-Bulk).

The calculation puts the energy of formation at -0.4975 eV per atom. The calculation puts the total DFT energy (no corrections) at -5.804 eV per atom.

The structure belongs to space group Amm2 (No. 38); the cell edges are 4.1212, 3.7623 and 10.5008 Å and the angles 90.00°, 90.00° and 90.00°. The inequivalent atoms are La at (0.0000, 0.0000, 0.0000), Mg at (0.5000, 0.0000, 0.2836), Rh at (0.0000, 0.0000, 0.7438) and Rh at (0.5000, 0.0000, 0.5763).

***

# 5
# La8MgRh2

An optimized crystal structure of La8MgRh2 (GGA-PBE, Alexandria via LeMat-Bulk).

The calculation puts the energy of formation at -0.2209 eV per atom. The calculation puts the total DFT energy (no corrections) at -5.286 eV per atom.

The structure belongs to space group C2/m (No. 12); the cell edges are 12.6702, 8.7069 and 7.3906 Å and the angles 90.00°, 111.14° and 90.00°. The inequivalent atoms are La at (0.1107, 0.1929, 0.2978), La at (0.1231, 0.5000, 0.6889), La at (0.1753, 0.0000, 0.8242), Mg at (0.0000, 0.5000, 0.0000) and Rh at (0.1773, 0.5000, 0.3677).

***

# 6
# LaMgRh2

An optimized crystal structure of LaMgRh2 (GGA-PBE, Alexandria via LeMat-Bulk).

The calculation puts the energy of formation at -0.1506 eV per atom. The calculation puts the total DFT energy (no corrections) at -5.457 eV per atom.

The structure belongs to space group F-43m (No. 216); the cell edges are 6.7801, 6.7801 and 6.7801 Å and the angles 90.00°, 90.00° and 90.00°. The inequivalent atoms are La at (0.0000, 0.0000, 0.0000), Mg at (0.2500, 0.2500, 0.7500), Rh at (0.0000, 0.0000, 0.5000) and Rh at (0.2500, 0.2500, 0.2500).

***

# 7
# LaMg3Rh

An optimized crystal structure of LaMg3Rh (GGA-PBE, Alexandria via LeMat-Bulk).

The calculation puts the energy of formation at -0.3756 eV per atom. The calculation puts the energy above the most stable polymorph in this dataset at 0.0 meV/atom. The calculation puts the total DFT energy (no corrections) at -3.788 eV per atom.

The structure belongs to space group P2_1/m (No. 11); the cell edges are 5.5318, 6.0460 and 7.4045 Å and the angles 90.00°, 108.44° and 90.00°. The inequivalent atoms are La at (0.0908, 0.2500, 0.3996), Mg at (0.0366, 0.2500, 0.8846), Mg at (0.4813, 0.5037, 0.2023) and Rh at (0.3295, 0.7500, 0.4761).

***

# 8
# La2MgSbRh

An optimized crystal structure of La2MgSbRh (GGA-PBE, Alexandria via LeMat-Bulk).

The uncorrected formation energy is -703 meV/atom. The calculation puts the total DFT energy (no corrections) at -5.288 eV per atom.

The structure belongs to space group P4/mmm (No. 123); the cell edges are 5.4527, 5.4527 and 5.0035 Å and the angles 90.00°, 90.00° and 90.00°. The inequivalent atoms are La at (0.0000, 0.5000, 0.0000), Mg at (0.0000, 0.0000, 0.5000), Sb at (0.5000, 0.5000, 0.5000) and Rh at (0.0000, 0.0000, 0.0000).

***

# 9
# LaMgSb2Rh5

An optimized crystal structure of LaMgSb2Rh5 (GGA-PBE, Alexandria via LeMat-Bulk).

The uncorrected formation energy is -310 meV/atom. The calculation puts the total DFT energy (no corrections) at -6.035 eV per atom.

The structure belongs to space group P4/mmm (No. 123); the cell edges are 4.1247, 4.1247 and 11.3636 Å and the angles 90.00°, 90.00° and 90.00°. The inequivalent atoms are La at (0.0000, 0.0000, 0.0000), Mg at (0.0000, 0.0000, 0.5000), Sb at (0.5000, 0.5000, 0.2265), Rh at (0.0000, 0.5000, 0.3585) and Rh at (0.5000, 0.5000, 0.0000).

***

# 10
# La2MgSb4Rh3

An optimized crystal structure of La2MgSb4Rh3 (GGA-PBE, Alexandria via LeMat-Bulk).

The uncorrected formation energy is -822 meV/atom. The calculation puts the total DFT energy (no corrections) at -5.821 eV per atom.

The structure belongs to space group P-4m2 (No. 115); the cell edges are 4.5387, 4.5387 and 11.1572 Å and the angles 90.00°, 90.00° and 90.00°. The inequivalent atoms are La at (0.0000, 0.5000, 0.2405), Mg at (0.0000, 0.0000, 0.5000), Sb at (0.0000, 0.0000, 0.0000), Sb at (0.0000, 0.5000, 0.6447), Sb at (0.5000, 0.5000, 0.0000), Rh at (0.0000, 0.5000, 0.8791) and Rh at (0.5000, 0.5000, 0.5000).

***

# 11
# LaMgSbRh3

An optimized crystal structure of LaMgSbRh3 (GGA-PBE, Alexandria via LeMat-Bulk).

The uncorrected formation energy is -414 meV/atom. The calculation puts the total DFT energy (no corrections) at -5.863 eV per atom.

The structure belongs to space group Cmcm (No. 63); the cell edges are 6.2267, 12.4812 and 6.2779 Å and the angles 90.00°, 90.00° and 90.00°. The inequivalent atoms are La at (0.0000, 0.1737, 0.2500), Mg at (0.0000, 0.4216, 0.2500), Sb at (0.0000, 0.1376, 0.7500), Rh at (0.0000, 0.3461, 0.7500) and Rh at (0.2232, 0.0000, 0.0000).

***

# 12
# LaMg2SiRh2

An optimized crystal structure of LaMg2SiRh2 (GGA-PBE, Alexandria via LeMat-Bulk).

The uncorrected formation energy is -507 meV/atom. The calculation puts the total DFT energy (no corrections) at -5.214 eV per atom.

The structure belongs to space group P4/mmm (No. 123); the cell edges are 4.5447, 4.5447 and 6.1376 Å and the angles 90.00°, 90.00° and 90.00°. The inequivalent atoms are La at (0.0000, 0.0000, 0.0000), Mg at (0.5000, 0.5000, 0.2506), Si at (0.0000, 0.0000, 0.5000) and Rh at (0.0000, 0.5000, 0.5000).